(1)
# PBE Sn2Sb2Br, optimized geometry
data_Sn2Sb2Br
_chemical_formula_sum 'Sn4 Sb4 Br2'
_space_group_name_H-M_alt 'I 4/m m m'
_space_group_IT_number 139
_space_group_name_Hall '-I 4 2'
_cell_length_a 4.565
_cell_length_b 4.565
_cell_length_c 15.344
_cell_angle_alpha 90.00
_cell_angle_beta 90.00
_cell_angle_gamma 90.00
loop_
_atom_site_label
_atom_site_type_symbol
_atom_site_fract_x
_atom_site_fract_y
_atom_site_fract_z
Sn1 Sn 0.000 0.000 0.109
Sb1 Sb 0.000 0.500 0.250
Br1 Br 0.000 0.000 0.500
# Uncorrected formation energy ... -0.1072 eV per atom
# E above lowest polymorph ... 0.00 kcal/mol of atoms
# Crystal system ... tetragonal
# Raw total energy ... -3.6918 eV/atom
# Spin magnetization ... 0.000 μB/cell

(2)
# PBE TlIn4Ga4, optimized geometry
data_TlIn4Ga4
_chemical_formula_sum 'Tl2 In8 Ga8'
_space_group_name_H-M_alt 'P 42/n m c'
_space_group_IT_number 137
_cell_length_a 6.307
_cell_length_b 6.307
_cell_length_c 11.146
_cell_angle_alpha 90.00
_cell_angle_beta 90.00
_cell_angle_gamma 90.00
loop_
_space_group_symop_operation_xyz
'x,y,z'
'-x,-y,-z'
'-y+1/2,x,z+1/2'
'y+1/2,-x,-z+1/2'
'-x+1/2,-y+1/2,z'
'x+1/2,y+1/2,-z'
'y,-x+1/2,z+1/2'
'-y,x+1/2,-z+1/2'
'x+1/2,-y,-z'
'-x+1/2,y,z'
'-y,-x,-z+1/2'
'y,x,z+1/2'
'-x,y+1/2,-z'
'x,-y+1/2,z'
'y+1/2,x+1/2,-z+1/2'
'-y+1/2,-x+1/2,z+1/2'
loop_
_atom_site_label
_atom_site_type_symbol
_atom_site_fract_x
_atom_site_fract_y
_atom_site_fract_z
Tl1 Tl 0.250 0.750 0.250
In1 In 0.006 0.250 0.030
Ga1 Ga 0.039 0.250 0.301
# E above lowest polymorph ... 0.00 kcal/mol of atoms
# Crystal system ... tetragonal
# Energy of formation from the pure elements ... 0.043 eV per atom
# Raw total energy ... -2.7826 eV/atom
# Spin magnetization ... 0.000 μB/cell